First-principles (GGA-PBE) data for CdSbSe after structural relaxation, as listed in the Alexandria database. Values from VASP.

Geometry as Quantum ESPRESSO input:
```
&SYSTEM
  ibrav = 0, nat = 6, ntyp = 3
/
ATOMIC_SPECIES
Cd 112.41 Cd.upf
Se 78.96 Se.upf
Sb 121.76 Sb.upf
CELL_PARAMETERS angstrom
4.368 -0.001 0.001
0.716 6.666 -0.001
1.330 0.234 7.121
ATOMIC_POSITIONS crystal
Cd 0.203 0.217 0.887
Cd 0.797 0.783 0.113
Se 0.361 0.811 0.873
Se 0.639 0.189 0.127
Sb 0.792 0.455 0.371
Sb 0.208 0.545 0.629
```



First-principles (GGA-PBE) data for CdSbSe after structural relaxation, as listed in the Alexandria database. Values from VASP.

Geometry as Quantum ESPRESSO input:
```
&SYSTEM
  ibrav = 0, nat = 6, ntyp = 3
/
ATOMIC_SPECIES
Se 78.96 Se.upf
Cd 112.41 Cd.upf
Sb 121.76 Sb.upf
CELL_PARAMETERS angstrom
4.373 0.002 -0.002
0.067 5.724 -0.002
1.389 2.760 6.597
ATOMIC_POSITIONS crystal
Se 0.840 0.765 0.420
Se 0.173 0.123 0.737
Cd 0.264 0.659 0.677
Cd 0.622 0.994 0.014
Sb 0.455 0.461 0.078
Sb 0.886 0.311 0.383
```



Number 1: ΔE to the lowest computed polymorph 157.3 meV per atom, raw formation energy -0.20 eV per atom. Number 2: ΔE to the lowest computed polymorph 116.8 meV per atom, raw formation energy -0.24 eV per atom.